No. 1
VASP calculation (GGA-PBE) on an optimized crystal structure of YHfCdAu2.

Summary:
raw total energy	-4.200	eV per atom
DOS(E_F)	4.87	states/eV per cell
formation enthalpy at 0 K	55.7	kJ per mole of atoms

Lattice parameters (Å, degrees): 5.078 5.078 5.253 90.00 90.00 90.00
Element x y z (fractional)
Y (0.000, 0.000, 0.000)
Hf (0.500, 0.500, 0.000)
Cd (0.500, 0.500, 0.500)
Au (0.000, 0.500, 0.500)
Au (0.500, 0.000, 0.500)

***

No. 2
VASP calculation (GGA-PBE) on an optimized crystal structure of Th2CdCo.

Summary:
offset from the most stable computed form	0.0	kJ/mol of formula units
raw total energy	-5.862	eV per atom
DOS(E_F)	3.05	states/eV per cell
formation enthalpy at 0 K	-14.2	kJ per mole of atoms

Lattice parameters (Å, degrees): 8.631 8.631 8.631 26.00 26.00 26.00
Element x y z (fractional)
Th (0.000, 0.000, 0.000)
Th (0.208, 0.208, 0.208)
Cd (0.436, 0.436, 0.436)
Co (0.605, 0.605, 0.605)

***

No. 3
VASP calculation (GGA-PBE) on an optimized crystal structure of GdHoMgFe.

Summary:
raw total energy	-7.065	eV per atom
DOS(E_F)	7.32	states/eV per cell
formation enthalpy at 0 K	11.0	kJ per mole of atoms

Lattice parameters (Å, degrees): 5.067 5.067 5.067 60.00 60.00 60.00
Element x y z (fractional)
Gd (0.000, 0.000, 0.000)
Ho (0.500, 0.500, 0.500)
Mg (0.250, 0.250, 0.250)
Fe (0.750, 0.750, 0.750)

***

No. 4
VASP calculation (GGA-PBE) on an optimized crystal structure of SrCdSn4.

Summary:
offset from the most stable computed form	0.0	kJ/mol of formula units
raw total energy	-3.341	eV per atom
DOS(E_F)	4.68	states/eV per cell
formation enthalpy at 0 K	-23.1	kJ per mole of atoms

Lattice parameters (Å, degrees): 10.475 10.475 5.048 90.00 90.00 141.26
Element x y z (fractional)
Sr (0.121, 0.879, 0.750)
Sr (0.879, 0.121, 0.250)
Cd (0.375, 0.625, 0.250)
Cd (0.625, 0.375, 0.750)
Sn (0.076, 0.490, 0.750)
Sn (0.238, 0.326, 0.750)
Sn (0.326, 0.238, 0.250)
Sn (0.490, 0.076, 0.250)
Sn (0.510, 0.924, 0.750)
Sn (0.674, 0.762, 0.750)
Sn (0.762, 0.674, 0.250)
Sn (0.924, 0.510, 0.250)

***

No. 5
VASP calculation (GGA-PBE) on an optimized crystal structure of MgTl2In.

Summary:
raw total energy	-2.249	eV per atom
DOS(E_F)	2.02	states/eV per cell
formation enthalpy at 0 K	1.7	kJ per mole of atoms

Lattice parameters (Å, degrees): 5.836 5.836 5.836 131.72 131.72 70.66
Element x y z (fractional)
Mg (0.000, 0.000, 0.000)
Tl (0.250, 0.750, 0.500)
Tl (0.750, 0.250, 0.500)
In (0.500, 0.500, 0.000)

***

No. 6
VASP calculation (GGA-PBE) on an optimized crystal structure of PrPa2Ge.

Summary:
offset from the most stable computed form	116.5	kJ/mol of formula units
raw total energy	-6.907	eV per atom
DOS(E_F)	8.07	states/eV per cell
formation enthalpy at 0 K	18.4	kJ per mole of atoms

Lattice parameters (Å, degrees): 11.751 11.751 11.751 15.71 15.71 15.71
Element x y z (fractional)
Pr (0.000, 0.000, 0.000)
Pa (0.096, 0.096, 0.096)
Pa (0.904, 0.904, 0.904)
Ge (0.500, 0.500, 0.500)

***

No. 7
VASP calculation (GGA-PBE) on an optimized crystal structure of La3Mg7Ir4.

Summary:
raw total energy	-4.859	eV per atom
DOS(E_F)	5.63	states/eV per cell
formation enthalpy at 0 K	-45.8	kJ per mole of atoms

Lattice parameters (Å, degrees): 8.468 8.468 10.652 123.44 123.44 29.16
Element x y z (fractional)
La (0.000, 0.000, 0.000)
La (0.300, 0.300, 0.279)
La (0.700, 0.700, 0.721)
Mg (0.000, 0.000, 0.500)
Mg (0.170, 0.170, 0.428)
Mg (0.320, 0.320, 0.991)
Mg (0.486, 0.486, 0.713)
Mg (0.514, 0.514, 0.287)
Mg (0.680, 0.680, 0.009)
Mg (0.830, 0.830, 0.572)
Ir (0.107, 0.107, 0.807)
Ir (0.334, 0.334, 0.741)
Ir (0.666, 0.666, 0.259)
Ir (0.893, 0.893, 0.193)

***

No. 8
VASP calculation (GGA-PBE) on an optimized crystal structure of PrSm2Pb.

Summary:
offset from the most stable computed form	0.0	kJ/mol of formula units
raw total energy	-4.809	eV per atom
DOS(E_F)	4.91	states/eV per cell
formation enthalpy at 0 K	-31.6	kJ per mole of atoms

Lattice parameters (Å, degrees): 4.986 4.986 4.948 90.00 90.00 90.00
Element x y z (fractional)
Pr (0.000, 0.000, 0.000)
Sm (0.000, 0.500, 0.500)
Sm (0.500, 0.000, 0.500)
Pb (0.500, 0.500, 0.000)

***

No. 9
VASP calculation (GGA-PBE) on an optimized crystal structure of UTlCuSe4.

Summary:
raw total energy	-5.211	eV per atom
DOS(E_F)	10.28	states/eV per cell
formation energy without anion corrections	-684	meV/atom

Lattice parameters (Å, degrees): 7.030 5.715 9.414 90.00 107.61 90.00
Element x y z (fractional)
U (0.232, 0.250, 0.445)
U (0.768, 0.750, 0.555)
Tl (0.241, 0.250, 0.948)
Tl (0.759, 0.750, 0.052)
Cu (0.239, 0.750, 0.671)
Cu (0.761, 0.250, 0.329)
Se (0.039, 0.750, 0.835)
Se (0.069, 0.750, 0.410)
Se (0.480, 0.510, 0.297)
Se (0.480, 0.990, 0.297)
Se (0.520, 0.010, 0.703)
Se (0.520, 0.490, 0.703)
Se (0.931, 0.250, 0.590)
Se (0.961, 0.250, 0.165)

***

No. 10
VASP calculation (GGA-PBE) on an optimized crystal structure of TlSbPb2.

Summary:
offset from the most stable computed form	14.0	kJ/mol of formula units
raw total energy	-3.427	eV per atom
DOS(E_F)	1.51	states/eV per cell
formation energy without anion corrections	49	meV/atom

Lattice parameters (Å, degrees): 3.386 3.386 10.732 90.00 90.00 91.47
Element x y z (fractional)
Tl (0.000, 0.000, 0.000)
Sb (0.500, 0.500, 0.245)
Pb (0.000, 0.000, 0.491)
Pb (0.500, 0.500, 0.734)

***

No. 11
VASP calculation (GGA-PBE) on an optimized crystal structure of AlB2.

Summary:
raw total energy	-4.750	eV per atom
DOS(E_F)	1.10	states/eV per cell
formation enthalpy at 0 K	91.6	kJ per mole of atoms

Lattice parameters (Å, degrees): 4.212 4.212 4.212 142.02 142.02 54.79
Element x y z (fractional)
Al (0.000, 0.000, 0.000)
B (0.285, 0.285, 0.000)
B (0.715, 0.715, 0.000)

***

No. 12
VASP calculation (GGA-PBE) on an optimized crystal structure of Er3Pb7.

Summary:
raw total energy	-4.158	eV per atom
DOS(E_F)	5.27	states/eV per cell
formation enthalpy at 0 K	-18.6	kJ per mole of atoms

Lattice parameters (Å, degrees): 10.040 10.040 6.919 90.00 90.00 120.00
Element x y z (fractional)
Er (0.211, 0.421, 0.000)
Er (0.211, 0.789, 0.000)
Er (0.421, 0.211, 0.500)
Er (0.579, 0.789, 0.000)
Er (0.789, 0.211, 0.500)
Er (0.789, 0.579, 0.500)
Pb (0.054, 0.527, 0.684)
Pb (0.122, 0.244, 0.493)
Pb (0.122, 0.878, 0.493)
Pb (0.244, 0.122, 0.993)
Pb (0.333, 0.667, 0.349)
Pb (0.473, 0.527, 0.684)
Pb (0.473, 0.946, 0.684)
Pb (0.527, 0.054, 0.184)
Pb (0.527, 0.473, 0.184)
Pb (0.667, 0.333, 0.849)
Pb (0.756, 0.878, 0.493)
Pb (0.878, 0.122, 0.993)
Pb (0.878, 0.756, 0.993)
Pb (0.946, 0.473, 0.184)

***

No. 13
VASP calculation (GGA-PBE) on an optimized crystal structure of Cu5PdS4.

Summary:
raw total energy	-4.348	eV per atom
DOS(E_F)	12.24	states/eV per cell
formation energy without anion corrections	-130	meV/atom

Lattice parameters (Å, degrees): 7.323 8.300 5.317 90.00 90.00 90.00
Element x y z (fractional)
Cu (0.061, 0.077, 0.220)
Cu (0.061, 0.423, 0.220)
Cu (0.250, 0.750, 0.261)
Cu (0.439, 0.077, 0.220)
Cu (0.439, 0.423, 0.220)
Cu (0.561, 0.577, 0.780)
Cu (0.561, 0.923, 0.780)
Cu (0.750, 0.250, 0.739)
Cu (0.939, 0.577, 0.780)
Cu (0.939, 0.923, 0.780)
Pd (0.250, 0.250, 0.858)
Pd (0.750, 0.750, 0.142)
S (0.015, 0.250, 0.533)
S (0.250, 0.543, 0.935)
S (0.250, 0.957, 0.935)
S (0.485, 0.250, 0.533)
S (0.515, 0.750, 0.467)
S (0.750, 0.043, 0.065)
S (0.750, 0.457, 0.065)
S (0.985, 0.750, 0.467)

***

No. 14
VASP calculation (GGA-PBE) on an optimized crystal structure of Rb2BaZnP2.

Summary:
raw total energy	-3.095	eV per atom
formation enthalpy at 0 K	-42.1	kJ per mole of atoms

Lattice parameters (Å, degrees): 9.120 9.120 9.120 132.18 68.40 134.16
Element x y z (fractional)
Rb (0.184, 0.195, 0.378)
Rb (0.316, 0.695, 0.011)
Rb (0.684, 0.305, 0.989)
Rb (0.816, 0.805, 0.622)
Ba (0.250, 0.750, 0.500)
Ba (0.750, 0.250, 0.500)
Zn (0.250, 0.250, 0.000)
Zn (0.750, 0.750, 0.000)
P (0.084, 0.806, 0.890)
P (0.416, 0.306, 0.722)
P (0.584, 0.694, 0.278)
P (0.916, 0.194, 0.110)

***

No. 15
VASP calculation (GGA-PBE) on an optimized crystal structure of TaMnMoOs.

Summary:
raw total energy	-10.851	eV per atom
DOS(E_F)	2.10	states/eV per cell
formation enthalpy at 0 K	-7.7	kJ per mole of atoms

Lattice parameters (Å, degrees): 4.418 4.418 4.418 60.00 60.00 60.00
Element x y z (fractional)
Ta (0.000, 0.000, 0.000)
Mn (0.500, 0.500, 0.500)
Mo (0.250, 0.250, 0.250)
Os (0.750, 0.750, 0.750)

***

No. 16
VASP calculation (GGA-PBE) on an optimized crystal structure of CsKCd2H6.

Summary:
raw total energy	-2.410	eV per atom
DOS(E_F)	0.00	states/eV per cell

Lattice parameters (Å, degrees): 7.406 7.406 7.406 51.73 51.73 51.73
Element x y z (fractional)
Cs (0.000, 0.000, 0.000)
K (0.500, 0.500, 0.500)
Cd (0.246, 0.246, 0.246)
Cd (0.754, 0.754, 0.754)
H (0.050, 0.705, 0.503)
H (0.295, 0.497, 0.950)
H (0.497, 0.950, 0.295)
H (0.503, 0.050, 0.705)
H (0.705, 0.503, 0.050)
H (0.950, 0.295, 0.497)

***

No. 17
VASP calculation (GGA-PBE) on an optimized crystal structure of BeFeAs.

Summary:
offset from the most stable computed form	102.1	kJ/mol of formula units
raw total energy	-5.357	eV per atom
DOS(E_F)	1.64	states/eV per cell
formation enthalpy at 0 K	24.7	kJ per mole of atoms

Lattice parameters (Å, degrees): 3.842 3.842 2.895 90.00 90.00 120.00
Element x y z (fractional)
Be (0.000, 0.000, 0.000)
Fe (0.333, 0.667, 0.500)
As (0.667, 0.333, 0.500)

***

No. 18
VASP calculation (GGA-PBE) on an optimized crystal structure of Ac2Tb5Ho12.

Summary:
offset from the most stable computed form	304.3	kJ/mol of formula units
raw total energy	-4.258	eV per atom
DOS(E_F)	30.77	states/eV per cell
formation enthalpy at 0 K	27.4	kJ per mole of atoms

Lattice parameters (Å, degrees): 9.309 9.309 10.845 101.05 101.05 44.85
Element x y z (fractional)
Ac (0.240, 0.760, 0.000)
Ac (0.760, 0.240, 0.000)
Tb (0.266, 0.266, 0.505)
Tb (0.270, 0.270, 0.004)
Tb (0.500, 0.500, 0.500)
Tb (0.730, 0.730, 0.996)
Tb (0.734, 0.734, 0.495)
Ho (0.046, 0.584, 0.774)
Ho (0.053, 0.053, 0.376)
Ho (0.122, 0.627, 0.283)
Ho (0.373, 0.878, 0.717)
Ho (0.416, 0.954, 0.226)
Ho (0.453, 0.453, 0.736)
Ho (0.547, 0.547, 0.264)
Ho (0.584, 0.046, 0.774)
Ho (0.627, 0.122, 0.283)
Ho (0.878, 0.373, 0.717)
Ho (0.947, 0.947, 0.624)
Ho (0.954, 0.416, 0.226)

***

No. 19
VASP calculation (GGA-PBE) on an optimized crystal structure of Na4Tb3ScO8.

Summary:
raw total energy	-6.848	eV per atom
DOS(E_F)	0.00	states/eV per cell
formation energy without anion corrections	-2775	meV/atom

Lattice parameters (Å, degrees): 6.804 6.804 6.804 59.72 59.72 59.72
Element x y z (fractional)
Na (0.000, 0.000, 0.000)
Na (0.000, 0.500, 0.500)
Na (0.500, 0.000, 0.500)
Na (0.500, 0.500, 0.000)
Tb (0.000, 0.000, 0.500)
Tb (0.000, 0.500, 0.000)
Tb (0.500, 0.000, 0.000)
Sc (0.500, 0.500, 0.500)
O (0.238, 0.238, 0.238)
O (0.250, 0.729, 0.729)
O (0.271, 0.271, 0.750)
O (0.271, 0.750, 0.271)
O (0.729, 0.250, 0.729)
O (0.729, 0.729, 0.250)
O (0.750, 0.271, 0.271)
O (0.762, 0.762, 0.762)

***

No. 20
VASP calculation (GGA-PBE) on an optimized crystal structure of Pr2Sb4IrPt3.

Summary:
raw total energy	-6.051	eV per atom
DOS(E_F)	4.59	states/eV per cell
formation energy without anion corrections	-748	meV/atom

Lattice parameters (Å, degrees): 4.625 4.625 10.733 90.00 90.00 90.00
Element x y z (fractional)
Pr (0.000, 0.500, 0.232)
Pr (0.500, 0.000, 0.768)
Sb (0.000, 0.000, 0.500)
Sb (0.000, 0.500, 0.873)
Sb (0.500, 0.000, 0.127)
Sb (0.500, 0.500, 0.500)
Ir (0.500, 0.500, 0.000)
Pt (0.000, 0.000, 0.000)
Pt (0.000, 0.500, 0.630)
Pt (0.500, 0.000, 0.370)

***

No. 21
VASP calculation (GGA-PBE) on an optimized crystal structure of AlFeCl2.

Summary:
offset from the most stable computed form	73.6	kJ/mol of formula units
raw total energy	-4.258	eV per atom
DOS(E_F)	2.71	states/eV per cell
formation energy without anion corrections	-284	meV/atom

Lattice parameters (Å, degrees): 3.041 3.041 8.478 90.00 90.00 90.00
Element x y z (fractional)
Al (0.000, 0.000, 0.000)
Fe (0.500, 0.500, 0.785)
Cl (0.000, 0.000, 0.623)
Cl (0.500, 0.500, 0.191)

***

No. 22
VASP calculation (GGA-PBE) on an optimized crystal structure of AlAg4Au7.

Summary:
offset from the most stable computed form	0.0	kJ/mol of formula units
raw total energy	-3.265	eV per atom
DOS(E_F)	2.79	states/eV per cell
formation enthalpy at 0 K	-8.7	kJ per mole of atoms

Lattice parameters (Å, degrees): 5.106 5.106 11.912 105.11 105.11 45.78
Element x y z (fractional)
Al (0.000, 0.000, 0.000)
Ag (0.317, 0.317, 0.830)
Ag (0.330, 0.330, 0.585)
Ag (0.670, 0.670, 0.415)
Ag (0.683, 0.683, 0.170)
Au (0.000, 0.000, 0.500)
Au (0.010, 0.010, 0.242)
Au (0.343, 0.343, 0.335)
Au (0.351, 0.351, 0.073)
Au (0.649, 0.649, 0.927)
Au (0.657, 0.657, 0.665)
Au (0.990, 0.990, 0.758)

***

No. 23
VASP calculation (GGA-PBE) on an optimized crystal structure of Hg3W5.

Summary:
offset from the most stable computed form	156.1	kJ/mol of formula units
raw total energy	-7.232	eV per atom
DOS(E_F)	9.02	states/eV per cell
formation enthalpy at 0 K	94.2	kJ per mole of atoms

Lattice parameters (Å, degrees): 8.419 8.419 4.873 90.00 90.00 120.00
Element x y z (fractional)
Hg (0.000, 0.399, 0.250)
Hg (0.000, 0.601, 0.750)
Hg (0.399, 0.000, 0.250)
Hg (0.399, 0.399, 0.750)
Hg (0.601, 0.000, 0.750)
Hg (0.601, 0.601, 0.250)
W (0.000, 0.182, 0.750)
W (0.000, 0.818, 0.250)
W (0.182, 0.000, 0.750)
W (0.182, 0.182, 0.250)
W (0.333, 0.667, 0.000)
W (0.333, 0.667, 0.500)
W (0.667, 0.333, 0.000)
W (0.667, 0.333, 0.500)
W (0.818, 0.000, 0.250)
W (0.818, 0.818, 0.750)